Record 1
The following is a DFT calculation (PBE) of a relaxed structure of CaTi2S4.

abc: 6.1153 6.1153 12.3934
angles: 90.00 90.00 145.63
Closest atoms and distances in Å follow each position.
Positions (direct):
Ca: 0.1213 0.8787 0.7500  6 S 2.81-2.83
Ca: 0.8787 0.1213 0.2500  6 S 2.81-2.83
Ti: 0.3775 0.6225 0.5638  6 S 2.41-2.54
Ti: 0.3775 0.6225 0.9362  6 S 2.41-2.54
Ti: 0.6225 0.3775 0.0638  6 S 2.41-2.54
Ti: 0.6225 0.3775 0.4362  6 S 2.41-2.54
S: 0.0000 0.0000 0.0000  4 Ti 2.44
S: 0.0000 0.0000 0.5000  4 Ti 2.44
S: 0.2679 0.7321 0.1083  3 Ti 2.49-2.54
S: 0.2679 0.7321 0.3917  3 Ti 2.49-2.54
S: 0.4377 0.5623 0.7500  2 Ti 2.41
S: 0.5623 0.4377 0.2500  2 Ti 2.41
S: 0.7321 0.2679 0.6083  3 Ti 2.49-2.54
S: 0.7321 0.2679 0.8917  3 Ti 2.49-2.54

Results
The density of states at the Fermi level comes out at 8.164 states/eV per cell. The calculation puts the formation energy without anion corrections at -1.533 eV per atom. The mass density is 3.4 Mg/m³.



Record 2
The following is a DFT calculation (PBE) of a relaxed structure of MnReRu.

abc: 4.1839 4.1839 2.6685
angles: 90.00 90.00 120.00
Closest atoms and distances in Å follow each position.
Positions (direct):
Mn: 0.0000 0.0000 0.0000  3 Re 2.42, 2 Mn 2.67
Re: 0.3333 0.6667 0.0000  3 Mn 2.42, 2 Re 2.67
Ru: 0.6667 0.3333 0.5000  2 Ru 2.67, 6 Mn 2.76, 6 Re 2.76

Results
The density of states at the Fermi level comes out at 2.665 states/eV per cell. The mass density is 14.0 Mg/m³. The calculation puts the total energy at -30.616 eV/cell.



Record 3
The following is a DFT calculation (PBE) of a relaxed structure of LaPr2H8.

abc: 6.7435 6.7435 6.7435
angles: 146.47 131.73 60.06
Closest atoms and distances in Å follow each position.
Positions (direct):
La: 0.0000 0.0000 0.0000  8 H 2.38-2.47
Pr: 0.3300 0.3300 0.0000  8 H 2.34-2.44
Pr: 0.6700 0.6700 0.0000  8 H 2.34-2.44
H: 0.1012 0.8382 0.2630  3 Pr 2.35-2.44, 1 La 2.38, 4 H 2.43-2.61
H: 0.1570 0.6570 0.5000  8 H 2.38-2.49
H: 0.2753 0.5000 0.7753  2 Pr 2.34, 3 H 2.38-2.48, 2 La 2.47
H: 0.4248 0.1618 0.2630  3 Pr 2.35-2.44, 1 La 2.38, 4 H 2.43-2.61
H: 0.5752 0.8382 0.7370  3 Pr 2.35-2.44, 1 La 2.38, 4 H 2.43-2.61
H: 0.7247 0.5000 0.2247  2 Pr 2.34, 3 H 2.38-2.48, 2 La 2.47
H: 0.8430 0.3430 0.5000  8 H 2.38-2.49
H: 0.8988 0.1618 0.7370  3 Pr 2.35-2.44, 1 La 2.38, 4 H 2.43-2.61

Results
The density of states at the Fermi level comes out at 1.608 states/eV per cell. The mass density is 5.7 Mg/m³. The calculation puts the total energy at -47.781 eV/cell.



Record 4
The following is a DFT calculation (PBE) of a relaxed structure of ZnCdCl4.

abc: 6.5640 3.6979 15.2862
angles: 90.00 114.96 90.00
Closest atoms and distances in Å follow each position.
Positions (direct):
Zn: 0.0000 0.0000 0.0000  6 Cl 2.51-2.52
Zn: 0.0000 0.5000 0.5000  6 Cl 2.51-2.52
Cd: 0.5000 0.0000 0.5000  6 Cl 2.64-2.67
Cd: 0.5000 0.5000 0.0000  6 Cl 2.64-2.67
Cl: 0.2114 0.9999 0.8959  1 Zn 2.51, 2 Cd 2.64-2.65
Cl: 0.2114 0.5001 0.3959  1 Zn 2.51, 2 Cd 2.64-2.65
Cl: 0.2497 0.0028 0.6000  2 Zn 2.51-2.52, 1 Cd 2.67
Cl: 0.2497 0.4972 0.1000  2 Zn 2.51-2.52, 1 Cd 2.67
Cl: 0.7503 0.5028 0.9000  2 Zn 2.51-2.52, 1 Cd 2.67
Cl: 0.7503 0.9972 0.4000  2 Zn 2.51-2.52, 1 Cd 2.67
Cl: 0.7886 0.0001 0.1041  1 Zn 2.51, 2 Cd 2.64-2.65
Cl: 0.7886 0.4999 0.6041  1 Zn 2.51, 2 Cd 2.64-2.65

Results
The density of states at the Fermi level comes out at 0.000 states/eV per cell. The calculation puts the formation energy without anion corrections at -1.085 eV per atom. The mass density is 3.2 Mg/m³.



Record 5
The following is a DFT calculation (PBE) of a relaxed structure of Ba19Tl4Pt6.

abc: 11.9409 11.9409 11.9409
angles: 109.47 109.47 109.47
Closest atoms and distances in Å follow each position.
Positions (direct):
Ba: 0.0000 0.0000 0.0000  4 Tl 3.92
Ba: 0.0000 0.3531 0.3531  2 Pt 3.21
Ba: 0.0000 0.6469 0.6469  2 Pt 3.21
Ba: 0.0175 0.3581 0.7709  2 Pt 3.07-3.17
Ba: 0.2291 0.5872 0.2466  2 Pt 3.07-3.17
Ba: 0.2466 0.2291 0.5872  2 Pt 3.07-3.17
Ba: 0.3406 0.9825 0.7534  2 Pt 3.07-3.17
Ba: 0.3531 0.0000 0.3531  2 Pt 3.21
Ba: 0.3531 0.3531 0.0000  2 Pt 3.21
Ba: 0.3581 0.7709 0.0175  2 Pt 3.07-3.17
Ba: 0.4128 0.6419 0.6594  2 Pt 3.07-3.17
Ba: 0.5872 0.2466 0.2291  2 Pt 3.07-3.17
Ba: 0.6419 0.6594 0.4128  2 Pt 3.07-3.17
Ba: 0.6469 0.0000 0.6469  2 Pt 3.21
Ba: 0.6469 0.6469 0.0000  2 Pt 3.21
Ba: 0.6594 0.4128 0.6419  2 Pt 3.07-3.17
Ba: 0.7534 0.3406 0.9825  2 Pt 3.07-3.17
Ba: 0.7709 0.0175 0.3581  2 Pt 3.07-3.17
Ba: 0.9825 0.7534 0.3406  2 Pt 3.07-3.17
Tl: 0.0000 0.0000 0.6716  10 Ba 3.92-4.13
Tl: 0.0000 0.6716 0.0000  10 Ba 3.92-4.13
Tl: 0.3284 0.3284 0.3284  10 Ba 3.92-4.13
Tl: 0.6716 0.0000 0.0000  10 Ba 3.92-4.13
Pt: 0.1810 0.6810 0.5000  6 Ba 3.07-3.21
Pt: 0.3190 0.5000 0.8190  6 Ba 3.07-3.21
Pt: 0.5000 0.1810 0.6810  6 Ba 3.07-3.21
Pt: 0.5000 0.8190 0.3190  6 Ba 3.07-3.21
Pt: 0.6810 0.5000 0.1810  6 Ba 3.07-3.21
Pt: 0.8190 0.3190 0.5000  6 Ba 3.07-3.21

Results
The density of states at the Fermi level comes out at 23.065 states/eV per cell. The mass density is 5.8 Mg/m³. The calculation puts the total energy at -95.517 eV/cell.



Record 6
The following is a DFT calculation (PBE) of a relaxed structure of Ba2Sn2Bi.

abc: 7.0198 7.0198 13.0604
angles: 117.17 117.17 45.44
Closest atoms and distances in Å follow each position.
Positions (direct):
Ba: 0.0918 0.0918 0.4028  6 Sn 3.64-3.87, 2 Bi 3.70
Ba: 0.2949 0.2949 0.8467  4 Bi 3.81-3.95, 7 Sn 3.84-3.93
Ba: 0.7051 0.7051 0.1533  4 Bi 3.81-3.95, 7 Sn 3.84-3.93
Ba: 0.9082 0.9082 0.5972  6 Sn 3.64-3.87, 2 Bi 3.70
Sn: 0.0411 0.0411 0.9183  1 Sn 2.82
Sn: 0.3756 0.3756 0.3973  1 Sn 3.00, 1 Bi 3.08
Sn: 0.6244 0.6244 0.6027  1 Sn 3.00, 1 Bi 3.08
Sn: 0.9589 0.9589 0.0817  1 Sn 2.82
Bi: 0.4277 0.4277 0.1916  3 Sn 3.08-3.19
Bi: 0.5723 0.5723 0.8084  3 Sn 3.08-3.19

Results
The density of states at the Fermi level comes out at 3.802 states/eV per cell. The mass density is 6.0 Mg/m³. The calculation puts the total energy at -37.559 eV/cell.



Record 7
The following is a DFT calculation (PBE) of a relaxed structure of CaTcPS2.

abc: 4.8652 4.8652 4.4797
angles: 90.00 90.00 90.00
Closest atoms and distances in Å follow each position.
Positions (direct):
Ca: 0.0000 0.0000 0.0000  8 S 3.31, 4 P 3.44
Tc: 0.5000 0.5000 0.5000  2 P 2.24, 4 S 2.43
P: 0.5000 0.5000 0.0000  2 Tc 2.24
S: 0.0000 0.5000 0.5000  2 Tc 2.43
S: 0.5000 0.0000 0.5000  2 Tc 2.43

Results
The density of states at the Fermi level comes out at 3.897 states/eV per cell. The calculation puts the formation energy without anion corrections at -0.399 eV per atom. The mass density is 3.7 Mg/m³.



Record 8
The following is a DFT calculation (PBE) of a relaxed structure of RuC3.

abc: 4.2498 4.5124 4.2463
angles: 90.00 90.00 90.00
Closest atoms and distances in Å follow each position.
Positions (direct):
Ru: 0.2500 0.2500 0.2294  2 C 1.92
Ru: 0.7500 0.7500 0.7706  2 C 1.92
C: 0.0840 0.7500 0.4655  2 C 1.41-1.48
C: 0.2500 0.7500 0.1584  2 C 1.48
C: 0.4160 0.7500 0.4655  2 C 1.41-1.48
C: 0.5840 0.2500 0.5345  2 C 1.41-1.48
C: 0.7500 0.2500 0.8416  2 C 1.48
C: 0.9160 0.2500 0.5345  2 C 1.41-1.48

Results
The density of states at the Fermi level comes out at 1.665 states/eV per cell. The mass density is 5.6 Mg/m³. The calculation puts the total energy at -61.567 eV/cell.



Record 9
The following is a DFT calculation (PBE) of a relaxed structure of Zr4C2N.

abc: 6.3728 6.3728 5.6990
angles: 116.44 116.44 30.14
Closest atoms and distances in Å follow each position.
Positions (direct):
Zr: 0.1289 0.1289 0.2868  3 C 2.31-2.37, 2 N 2.35
Zr: 0.3696 0.3696 0.1921  3 C 2.27-2.32, 1 N 2.32
Zr: 0.6304 0.6304 0.8079  3 C 2.27-2.32, 1 N 2.32
Zr: 0.8711 0.8711 0.7132  3 C 2.31-2.37, 2 N 2.35
C: 0.2396 0.2396 0.7418  6 Zr 2.27-2.37
C: 0.7604 0.7604 0.2582  6 Zr 2.27-2.37
N: 0.5000 0.5000 0.0000  6 Zr 2.32-2.35

Results
The density of states at the Fermi level comes out at 2.786 states/eV per cell. The calculation puts the formation energy without anion corrections at -0.954 eV per atom. The mass density is 6.5 Mg/m³.



Record 10
The following is a DFT calculation (PBE) of a relaxed structure of Ge2AuSe3.

abc: 6.1787 6.1787 12.6141
angles: 111.95 111.95 35.49
Closest atoms and distances in Å follow each position.
Positions (direct):
Ge: 0.1178 0.1178 0.3712  5 Se 2.59-2.78, 1 Au 2.63
Ge: 0.3710 0.3710 0.1347  4 Se 2.63-2.80, 2 Au 2.77
Ge: 0.6290 0.6290 0.8653  4 Se 2.63-2.80, 2 Au 2.77
Ge: 0.8822 0.8822 0.6288  5 Se 2.59-2.78, 1 Au 2.63
Au: 0.1246 0.1246 0.7030  3 Ge 2.63-2.77, 3 Se 2.67-2.85
Au: 0.8754 0.8754 0.2970  3 Ge 2.63-2.77, 3 Se 2.67-2.85
Se: 0.1264 0.1264 0.0099  3 Ge 2.63-2.68, 1 Se 2.89
Se: 0.3574 0.3574 0.4588  3 Ge 2.59-2.78, 2 Au 2.85
Se: 0.3702 0.3702 0.7698  3 Ge 2.63-2.80, 1 Au 2.67
Se: 0.6298 0.6298 0.2302  3 Ge 2.63-2.80, 1 Au 2.67
Se: 0.6426 0.6426 0.5412  3 Ge 2.59-2.78, 2 Au 2.85
Se: 0.8736 0.8736 0.9901  3 Ge 2.63-2.68, 1 Se 2.89

Results
The density of states at the Fermi level comes out at 5.089 states/eV per cell. The calculation puts the formation energy without anion corrections at -0.093 eV per atom. The mass density is 7.5 Mg/m³.



Record 11
The following is a DFT calculation (PBE) of a relaxed structure of Ta2VTc.

abc: 4.4895 4.4895 4.4895
angles: 60.00 60.00 60.00
Closest atoms and distances in Å follow each position.
Positions (direct):
Ta: 0.2500 0.2500 0.2500  4 Tc 2.75, 4 V 2.75
Ta: 0.7500 0.7500 0.7500  4 Tc 2.75, 4 V 2.75
V: 0.0000 0.0000 0.0000  8 Ta 2.75
Tc: 0.5000 0.5000 0.5000  8 Ta 2.75

Results
The density of states at the Fermi level comes out at 2.622 states/eV per cell. The mass density is 13.3 Mg/m³. The calculation puts the total energy at -44.235 eV/cell.



Record 12
The following is a DFT calculation (PBE) of a relaxed structure of HgSe.

abc: 8.5076 8.5076 8.5076
angles: 93.67 93.67 150.69
Closest atoms and distances in Å follow each position.
Positions (direct):
Hg: 0.1085 0.6729 0.7815  3 Se 2.61-2.68
Hg: 0.3271 0.1085 0.4356  3 Se 2.61-2.68
Hg: 0.6729 0.8915 0.5644  3 Se 2.61-2.68
Hg: 0.8915 0.3271 0.2185  3 Se 2.61-2.68
Se: 0.1089 0.2705 0.3794  3 Hg 2.61-2.68
Se: 0.2705 0.8911 0.1617  3 Hg 2.61-2.68
Se: 0.7295 0.1089 0.8383  3 Hg 2.61-2.68
Se: 0.8911 0.7295 0.6206  3 Hg 2.61-2.68

Results
The density of states at the Fermi level comes out at 0.648 states/eV per cell. The calculation puts the formation energy without anion corrections at -0.162 eV per atom. The mass density is 6.4 Mg/m³.